1.
Entry from Alexandria via LeMat-Bulk: a PBEsol-optimized structure of Ti2CuNi (meta-GGA SCAN).

Output
- Energy of formation from the pure elements: -0.28 eV per atom

abc: 2.6464 4.3206 4.6374
angles: 90.00 90.00 90.00
Space group Pmm2 (No. 25)
Inequivalent atoms, fractional coordinates:
1 Ti 0.0000 0.0000 0.0000 (multiplicity 1)
2 Ti 0.0000 0.5000 0.4091 (multiplicity 1)
3 Cu 0.5000 0.0000 0.5290 (multiplicity 1)
4 Ni 0.5000 0.5000 0.8841 (multiplicity 1)



2.
Entry from Alexandria via LeMat-Bulk: a PBEsol-optimized structure of ZrTc (meta-GGA SCAN).

Output
- Energy of formation from the pure elements: -0.01 eV per atom

abc: 3.1447 3.1447 8.2411
angles: 90.00 90.00 120.00
Space group P6_3/mmc (No. 194)
Inequivalent atoms, fractional coordinates:
1 Zr 0.0000 0.0000 0.0000 (multiplicity 2)
2 Tc 0.3333 0.6667 0.2500 (multiplicity 2)



3.
Entry from Alexandria via LeMat-Bulk: a PBEsol-optimized structure of K2FeCl (meta-GGA SCAN).

Output
- Raw formation energy: -1.3 eV/f.u.
- ΔE to the lowest computed polymorph: 0.000 eV per atom

abc: 6.9940 3.9371 9.3120
angles: 90.00 103.72 90.00
Space group C2/m (No. 12)
Inequivalent atoms, fractional coordinates:
1 K 0.2397 0.0000 0.2190 (multiplicity 4)
2 Fe 0.0000 0.0000 0.5000 (multiplicity 2)
3 Cl 0.0000 0.5000 0.0000 (multiplicity 2)



| no. | energy (eV for the cell shown) | magnetization (μB/f.u.) | V (Å³ per cell) |
| --- | --- | --- | --- |
| 1 | -64.534 | 0.0 | 53.02 |
| 2 | -131.538 | 0.0 | 70.58 |
| 3 | -88.214 | 3.2 | 249.10 |